[1]
Rb2BiPd, relaxed, DFT PBE; final energy = -2.931 eV/atom; E_form = -0.179 eV/atom; magnetic moment = 0.00 μB per cell
1.0
13.111 0.000 0.000
0.000 13.111 0.000
6.556 6.556 2.599
Rb Bi Pd
4 2 2
Direct
0.426 0.125 0.250
0.324 0.625 0.250
0.375 0.574 0.750
0.875 0.676 0.750
0.000 0.000 0.000
0.750 0.250 0.500
0.500 0.500 0.000
0.250 0.750 0.500

***

[2]
Fe4As3, relaxed, DFT PBE; final energy = -6.215 eV/atom; distance to the lowest polymorph of the same formula = 0.607 eV per atom; E_form = 0.613 eV/atom; magnetic moment = 10.49 μB per cell
1.0
2.585 -4.478 0.000
2.585 4.478 0.000
0.000 0.000 4.532
Fe As
4 3
Direct
0.000 0.000 0.253
0.000 0.000 0.747
0.667 0.333 0.500
0.333 0.667 0.500
0.000 0.500 0.000
0.500 0.500 0.000
0.500 0.000 0.000

***

[3]
MgRuCl4, relaxed, DFT PBE; final energy = -2.243 eV/atom; magnetic moment = 4.46 μB per cell; E_form (uncorrected) = 4.80 eV/f.u.
1.0
2.684 -5.156 -0.170
1.965 -2.419 4.910
-2.621 -4.716 2.170
Mg Ru Cl
1 1 4
Direct
0.750 0.750 0.750
0.000 0.000 0.000
0.876 0.375 0.375
0.375 0.375 0.876
0.375 0.876 0.375
0.375 0.375 0.375

***

[4]
Cs3SnO3, relaxed, DFT PBE; final energy = -4.329 eV/atom; distance to the lowest polymorph of the same formula = 0.000 eV per atom; magnetic moment = 0.97 μB per cell; E_form (uncorrected) = -8.87 eV/f.u.
1.0
-4.211 2.666 0.216
1.154 -0.710 -7.146
-1.752 -6.159 3.450
Cs Sn O
3 1 3
Direct
0.513 0.495 0.495
0.018 0.000 0.505
0.018 0.505 0.000
0.449 0.000 0.000
0.144 0.728 0.728
0.416 0.000 0.272
0.416 0.272 0.000

***

[5]
VCo2CI, relaxed, DFT PBE; final energy = -5.337 eV/atom; magnetic moment = 2.37 μB per cell; E_form (uncorrected) = 7.42 eV/f.u.
1.0
4.617 0.000 0.000
0.000 3.793 0.000
0.000 0.000 4.617
I C Co V
1 1 2 1
Direct
0.500 0.500 0.500
0.000 0.500 0.000
0.000 0.000 0.500
0.500 0.000 0.000
0.000 0.000 0.000

***

[6]
BaZnBr, relaxed, DFT PBE; final energy = -2.709 eV/atom; distance to the lowest polymorph of the same formula = 0.003 eV per atom; magnetic moment = 0.00 μB per cell; E_form (uncorrected) = -3.26 eV/f.u.
1.0
-2.648 4.264 -11.278
2.802 -3.220 -1.875
-6.173 -5.097 -0.470
Zn Ba Br
4 4 4
Direct
0.999 0.000 0.833
0.001 0.000 0.167
0.999 0.500 0.333
0.001 0.500 0.667
0.205 0.000 0.501
0.795 0.000 0.499
0.205 0.500 0.001
0.795 0.500 0.999
0.650 0.000 0.164
0.350 0.000 0.836
0.650 0.500 0.664
0.350 0.500 0.336

***

[7]
CeCSe, relaxed, DFT PBE; final energy = -7.091 eV/atom; distance to the lowest polymorph of the same formula = 0.000 eV per atom; magnetic moment = 1.15 μB per cell; E_form (uncorrected) = -2.63 eV/f.u.
1.0
-1.974 2.095 -2.934
0.049 -4.672 -3.362
-7.115 -2.720 -1.174
C Ce Se
2 2 2
Direct
0.078 0.468 0.063
0.922 0.532 0.937
0.398 0.351 0.294
0.602 0.649 0.706
0.669 0.189 0.624
0.331 0.811 0.376

***

[8]
AcNdInI, relaxed, DFT PBE; final energy = -3.846 eV/atom; magnetic moment = 0.00 μB per cell; E_form (uncorrected) = -2.22 eV/f.u.
1.0
-4.402 3.412 1.349
-5.378 -1.873 -0.639
-3.203 -1.143 4.612
I Ac Nd In
1 1 1 1
Direct
0.000 0.000 0.000
0.750 0.750 0.750
0.250 0.250 0.250
0.500 0.500 0.500

***

[9]
TaSbMo2, relaxed, DFT PBE; final energy = -9.066 eV/atom; magnetic moment = 0.00 μB per cell; E_form (uncorrected) = 1.37 eV/f.u.
1.0
8.800 -0.004 -0.002
8.236 3.099 -0.002
8.236 1.496 2.714
Mo Sb Ta
2 1 1
Direct
0.997 0.997 0.997
0.258 0.258 0.258
0.502 0.502 0.502
0.743 0.743 0.743

***

[10]
Y4Cu, relaxed, DFT PBE; final energy = -5.879 eV/atom; distance to the lowest polymorph of the same formula = 0.099 eV per atom; E_form = 0.112 eV/atom; magnetic moment = 0.00 μB per cell
1.0
-4.548 -2.489 -1.506
0.399 -3.301 4.253
-2.882 3.471 2.965
Y Cu
4 1
Direct
0.000 0.000 0.000
0.500 0.000 0.500
0.000 0.500 0.500
0.500 0.500 0.000
0.500 0.500 0.500

***

[11]
LiNpPN, relaxed, DFT PBE; final energy = -8.048 eV/atom; magnetic moment = 4.06 μB per cell; E_form (uncorrected) = -3.60 eV/f.u.
1.0
-1.407 2.485 2.428
-0.852 -2.787 2.359
7.636 0.756 3.650
Li Np P N
2 2 2 2
Direct
0.000 0.000 0.500
0.500 0.500 0.500
0.000 0.500 0.859
0.500 0.000 0.141
0.500 0.000 0.694
0.000 0.500 0.306
0.500 0.500 0.000
0.000 0.000 0.000

***

[12]
TaTi2Ni, relaxed, DFT PBE; final energy = -8.395 eV/atom; distance to the lowest polymorph of the same formula = 0.138 eV per atom; E_form = -0.039 eV/atom; magnetic moment = 0.00 μB per cell
1.0
0.000 3.134 3.134
3.134 0.000 3.134
3.134 3.134 0.000
Ni Ti Ta
1 2 1
Direct
0.000 0.000 0.000
0.250 0.250 0.250
0.750 0.750 0.750
0.500 0.500 0.500

***

[13]
BeSbRhS2, relaxed, DFT PBE; final energy = -4.339 eV/atom; magnetic moment = 0.00 μB per cell; E_form (uncorrected) = 1.76 eV/f.u.
1.0
4.769 0.000 0.000
0.000 4.103 0.000
0.000 0.000 4.769
Sb S Rh Be
1 2 1 1
Direct
0.500 0.500 0.500
0.000 0.000 0.500
0.500 0.000 0.000
0.000 0.000 0.000
0.000 0.500 0.000

***

[14]
UPdPbO6, relaxed, DFT PBE; final energy = -7.301 eV/atom; magnetic moment = 0.00 μB per cell; E_form (uncorrected) = -15.77 eV/f.u.
1.0
5.435 0.000 0.000
-2.718 4.707 0.000
0.000 0.000 10.966
U Pd Pb O
2 2 2 12
Direct
0.333 0.667 0.250
0.667 0.333 0.750
0.667 0.333 0.250
0.333 0.667 0.750
0.000 0.000 0.000
0.000 0.000 0.500
0.640 0.633 0.146
0.993 0.360 0.146
0.360 0.993 0.646
0.007 0.640 0.854
0.367 0.360 0.354
0.993 0.633 0.354
0.633 0.993 0.854
0.640 0.007 0.354
0.007 0.367 0.646
0.367 0.007 0.146
0.633 0.640 0.646
0.360 0.367 0.854

***

[15]
MoPd3Rh, relaxed, DFT PBE; final energy = -5.002 eV/atom; distance to the lowest polymorph of the same formula = 1.736 eV per atom; E_form = 1.750 eV/atom; magnetic moment = 0.11 μB per cell
1.0
-4.430 1.514 0.411
-1.392 -3.222 -3.125
-0.725 -3.068 3.486
Mo Rh Pd
1 1 3
Direct
0.500 0.500 0.500
0.000 0.000 0.000
0.000 0.500 0.000
0.000 0.000 0.500
0.500 0.000 0.000

***

[16]
Ac2PmGe3Pt12, relaxed, DFT PBE; final energy = -5.906 eV/atom; E_form = -0.389 eV/atom; magnetic moment = 0.00 μB per cell
1.0
-8.016 0.524 0.105
-3.705 -3.374 6.279
-3.167 5.042 5.394
Ac Pm Ge Pt
2 1 3 12
Direct
0.602 0.602 0.602
0.398 0.398 0.398
0.000 0.000 0.000
0.500 0.000 0.000
0.000 0.500 0.000
0.000 0.000 0.500
0.353 0.353 0.905
0.856 0.856 0.402
0.402 0.856 0.856
0.905 0.353 0.353
0.856 0.402 0.856
0.353 0.905 0.353
0.647 0.647 0.095
0.144 0.144 0.598
0.598 0.144 0.144
0.095 0.647 0.647
0.144 0.598 0.144
0.647 0.095 0.647

***

[17]
Tm2Ni3Pt, relaxed, DFT PBE; final energy = -6.099 eV/atom; E_form = -0.711 eV/atom; magnetic moment = 0.00 μB per cell
1.0
4.480 -0.128 -2.342
-2.849 4.172 -0.225
-0.130 0.186 5.196
Tm Ni Pt
2 3 1
Direct
0.756 0.378 0.134
0.244 0.622 0.866
0.500 0.500 0.500
0.000 0.000 0.500
0.500 0.000 0.500
0.000 0.000 0.000

***

[18]
BeTlSb4, relaxed, DFT PBE; final energy = -3.208 eV/atom; magnetic moment = 0.00 μB per cell; E_form (uncorrected) = 3.33 eV/f.u.
1.0
-2.168 -1.801 5.609
-6.162 -0.828 0.865
-2.314 -5.786 0.761
Be Tl Sb
1 1 4
Direct
0.000 0.000 0.000
0.750 0.750 0.750
0.878 0.374 0.374
0.374 0.374 0.878
0.374 0.878 0.374
0.374 0.374 0.374

***

[19]
KSbW2, relaxed, DFT PBE; final energy = -6.539 eV/atom; magnetic moment = 0.00 μB per cell; E_form (uncorrected) = 4.97 eV/f.u.
1.0
-9.162 -1.661 5.456
-7.568 -3.992 6.578
-7.319 -1.236 7.834
K Sb W
1 1 2
Direct
0.250 0.250 0.250
0.750 0.750 0.750
0.014 0.014 0.014
0.486 0.486 0.486

***

[20]
NiMo2Rh, relaxed, DFT PBE; final energy = -8.813 eV/atom; distance to the lowest polymorph of the same formula = 0.000 eV per atom; E_form = -0.114 eV/atom; magnetic moment = 0.00 μB per cell
1.0
4.398 0.000 0.000
0.000 4.782 -0.347
0.000 0.387 5.336
Ni Mo Rh
2 4 2
Direct
0.750 0.669 0.250
0.250 0.331 0.750
0.750 0.171 0.004
0.250 0.829 0.996
0.750 0.171 0.496
0.250 0.829 0.504
0.750 0.658 0.750
0.250 0.342 0.250

***

[21]
NaPrGdPb, relaxed, DFT PBE; final energy = -6.178 eV/atom; E_form = -0.206 eV/atom; magnetic moment = 7.92 μB per cell
1.0
5.543 0.000 0.000
2.771 4.800 0.000
2.771 1.600 4.526
Pb Pr Gd Na
1 1 1 1
Direct
0.000 0.000 0.000
0.250 0.250 0.250
0.750 0.750 0.750
0.500 0.500 0.500

***

[22]
Rb2PaTa3O12, relaxed, DFT PBE; final energy = -8.556 eV/atom; magnetic moment = 1.00 μB per cell; E_form (uncorrected) = -47.53 eV/f.u.
1.0
7.717 0.117 0.083
3.913 6.652 0.083
3.913 2.277 6.251
Rb Pa Ta O
2 1 3 12
Direct
0.615 0.615 0.615
0.385 0.385 0.385
0.000 0.000 0.000
0.500 0.000 0.000
0.000 0.500 0.000
0.000 0.000 0.500
0.306 0.306 0.933
0.929 0.929 0.335
0.335 0.929 0.929
0.933 0.306 0.306
0.929 0.335 0.929
0.306 0.933 0.306
0.694 0.694 0.067
0.071 0.071 0.665
0.665 0.071 0.071
0.067 0.694 0.694
0.071 0.665 0.071
0.694 0.067 0.694

***

[23]
Tl2ReBr, relaxed, DFT PBE; final energy = -4.017 eV/atom; distance to the lowest polymorph of the same formula = 0.086 eV per atom; magnetic moment = 0.00 μB per cell; E_form (uncorrected) = 2.79 eV/f.u.
1.0
-1.705 -2.560 -1.178
3.117 -0.260 1.029
-3.463 -2.256 9.915
Re Tl Br
1 2 1
Direct
0.500 0.500 0.740
0.000 0.000 0.965
0.500 0.500 0.237
0.000 0.000 0.558

***

[24]
Ho2ThH8, relaxed, DFT PBE; final energy = -4.507 eV/atom; magnetic moment = 0.00 μB per cell
1.0
3.445 0.000 -1.049
-0.817 4.728 -2.685
0.048 0.413 6.343
Ho Th H
2 1 8
Direct
0.169 0.669 0.337
0.831 0.331 0.663
0.500 0.000 0.000
0.667 0.904 0.335
0.333 0.569 0.665
0.154 0.154 0.307
0.000 0.281 0.000
0.846 0.846 0.693
0.667 0.431 0.335
0.333 0.096 0.665
0.000 0.719 0.000

***

[25]
TlW, relaxed, DFT PBE; final energy = -5.351 eV/atom; distance to the lowest polymorph of the same formula = 1.685 eV per atom; E_form = 2.309 eV/atom; magnetic moment = 1.42 μB per cell
1.0
-4.740 -0.479 0.114
2.549 -2.300 -3.305
0.517 -4.309 3.397
Tl W
2 2
Direct
0.333 0.667 0.750
0.667 0.333 0.250
0.333 0.667 0.250
0.667 0.333 0.750